An optimized crystal structure of CeTl2MoO6. Source: Alexandria via LeMat-Bulk, functional GGA+U.

Computed properties:
crystal system: cubic
total moment: 0.00 μB/cell
total DFT energy (no corrections): -65.950 eV/f.u.
space group: No. 225
density: 8.0 g/cm³

abc: 6.0081 6.0081 6.0081
angles: 60.00 60.00 60.00
Element x y z (fractional)
O (0.7308, 0.2692, 0.7308)
O (0.2692, 0.7308, 0.7308)
O (0.7308, 0.7308, 0.2692)
O (0.2692, 0.7308, 0.2692)
O (0.2692, 0.2692, 0.7308)
O (0.7308, 0.2692, 0.2692)
Tl (0.2500, 0.2500, 0.2500)
Tl (0.7500, 0.7500, 0.7500)
Mo (0.5000, 0.5000, 0.5000)
Ce (0.0000, 0.0000, 0.0000)